{"formula": "TbDy15Er4", "functional": "GGA-PBE", "state": "relaxed", "cell": [[-2.783, 0.856, 4.052], [3.504, -2.115, 2.853], [11.038, 22.191, 2.896]], "species": ["Dy", "Er", "Dy", "Dy", "Er", "Dy", "Tb", "Dy", "Dy", "Dy", "Dy", "Er", "Dy", "Er", "Dy", "Dy", "Dy", "Dy", "Dy", "Dy"], "fractional_positions": [[0.000, 0.500, 0.700], [0.000, 0.000, 0.200], [0.000, 0.500, 0.300], [0.500, 0.000, 0.100], [0.000, 0.000, 0.600], [0.500, 0.500, 0.200], [0.000, 0.000, 0.000], [0.000, 0.500, 0.100], [0.500, 0.000, 0.300], [0.500, 0.500, 0.600], [0.500, 0.000, 0.700], [0.000, 0.000, 0.800], [0.500, 0.500, 0.000], [0.000, 0.000, 0.400], [0.500, 0.500, 0.800], [0.500, 0.000, 0.500], [0.500, 0.500, 0.400], [0.500, 0.000, 0.900], [0.000, 0.500, 0.500], [0.000, 0.500, 0.900]], "e_tot_ev_per_atom": -4.58, "crystal_system": "tetragonal", "total_magnetization_mub_per_fu": 0.00, "sg": "P4/mmm, No. 123"}